Version A
GGA-PBE Nd2HgSb, relaxed; space group = No. 123
1.0
4.0257 0.0000 0.0000
0.0000 4.0257 0.0000
0.0000 0.0000 7.0916
Nd Hg Sb
2 1 1
direct
0.0000 0.0000 0.2440
0.0000 0.0000 0.7560
0.5000 0.5000 0.5000
0.5000 0.5000 0.0000

---

Version B
GGA-PBE Nd2HgSb, relaxed; space group = No. 63
1.0
4.2911 0.0000 0.0000
0.0000 24.9157 0.0000
0.0000 0.0000 4.7039
Nd Hg Sb
8 4 4
direct
0.0000 0.0647 0.2500
0.0000 0.3156 0.2500
0.0000 0.6844 0.7500
0.0000 0.9353 0.7500
0.5000 0.1844 0.7500
0.5000 0.4353 0.7500
0.5000 0.5647 0.2500
0.5000 0.8156 0.2500
0.0000 0.4571 0.2500
0.0000 0.5429 0.7500
0.5000 0.0429 0.7500
0.5000 0.9571 0.2500
0.0000 0.1887 0.2500
0.0000 0.8113 0.7500
0.5000 0.3113 0.7500
0.5000 0.6887 0.2500

---

Least stable = version A

---

Version A
GGA-PBE Nd2HgSb, relaxed; space group = No. 160
1.0
4.3288 0.0000 0.0000
-2.1644 3.7489 0.0000
0.0000 0.0000 24.1186
Nd Hg Sb
6 3 3
direct
0.0000 0.0000 0.0000
0.0000 0.0000 0.1782
0.3333 0.6667 0.6667
0.3333 0.6667 0.8448
0.6667 0.3333 0.3333
0.6667 0.3333 0.5115
0.0000 0.0000 0.4216
0.3333 0.6667 0.0882
0.6667 0.3333 0.7549
0.0000 0.0000 0.5897
0.3333 0.6667 0.2563
0.6667 0.3333 0.9230

---

Version B
GGA-PBE Nd2HgSb, relaxed; space group = No. 166
1.0
4.4063 0.0000 0.0000
-2.2032 3.8160 0.0000
0.0000 0.0000 23.1489
Nd Hg Sb
6 3 3
direct
0.0000 0.0000 0.2456
0.0000 0.0000 0.7544
0.3333 0.6667 0.4211
0.3333 0.6667 0.9123
0.6667 0.3333 0.0877
0.6667 0.3333 0.5789
0.0000 0.0000 0.0000
0.3333 0.6667 0.6667
0.6667 0.3333 0.3333
0.0000 0.0000 0.5000
0.3333 0.6667 0.1667
0.6667 0.3333 0.8333

---

Least stable = version A

---

Version A
GGA-PBE NdScHg2, relaxed; space group = No. 225
1.0
7.3920 0.0000 0.0000
0.0000 7.3920 0.0000
0.0000 0.0000 7.3920
Nd Sc Hg
4 4 8
direct
0.0000 0.0000 0.0000
0.0000 0.5000 0.5000
0.5000 0.0000 0.5000
0.5000 0.5000 0.0000
0.0000 0.0000 0.5000
0.0000 0.5000 0.0000
0.5000 0.0000 0.0000
0.5000 0.5000 0.5000
0.2500 0.2500 0.2500
0.2500 0.2500 0.7500
0.2500 0.7500 0.2500
0.2500 0.7500 0.7500
0.7500 0.2500 0.2500
0.7500 0.2500 0.7500
0.7500 0.7500 0.2500
0.7500 0.7500 0.7500

---

Version B
GGA-PBE NdScHg2, relaxed; space group = No. 123
1.0
3.6136 0.0000 0.0000
0.0000 3.6136 0.0000
0.0000 0.0000 7.6101
Nd Sc Hg
1 1 2
direct
0.0000 0.0000 0.0000
0.0000 0.0000 0.5000
0.5000 0.5000 0.2829
0.5000 0.5000 0.7171

---

Least stable = version A

---

Version A
GGA-PBE Nd2ScHg, relaxed; space group = No. 160
1.0
3.6206 0.0000 0.0000
-1.8103 3.1355 0.0000
0.0000 0.0000 31.7110
Nd Sc Hg
6 3 3
direct
0.0000 0.0000 0.0000
0.0000 0.0000 0.1710
0.3333 0.6667 0.6667
0.3333 0.6667 0.8376
0.6667 0.3333 0.3333
0.6667 0.3333 0.5043
0.0000 0.0000 0.4186
0.3333 0.6667 0.0852
0.6667 0.3333 0.7519
0.0000 0.0000 0.5855
0.3333 0.6667 0.2522
0.6667 0.3333 0.9188

---

Version B
GGA-PBE Nd2ScHg, relaxed; space group = No. 123
1.0
5.5743 0.0000 0.0000
0.0000 5.5743 0.0000
0.0000 0.0000 3.6776
Nd Sc Hg
2 1 1
direct
0.0000 0.5000 0.0000
0.5000 0.0000 0.0000
0.0000 0.0000 0.5000
0.5000 0.5000 0.5000

---

Least stable = version A

---

Version A
GGA-PBE Nd2ScHg, relaxed; space group = No. 225
1.0
7.7014 0.0000 0.0000
0.0000 7.7014 0.0000
0.0000 0.0000 7.7014
Nd Sc Hg
8 4 4
direct
0.2500 0.2500 0.2500
0.2500 0.2500 0.7500
0.2500 0.7500 0.2500
0.2500 0.7500 0.7500
0.7500 0.2500 0.2500
0.7500 0.2500 0.7500
0.7500 0.7500 0.2500
0.7500 0.7500 0.7500
0.0000 0.0000 0.0000
0.0000 0.5000 0.5000
0.5000 0.0000 0.5000
0.5000 0.5000 0.0000
0.0000 0.0000 0.5000
0.0000 0.5000 0.0000
0.5000 0.0000 0.0000
0.5000 0.5000 0.5000

---

Version B
GGA-PBE Nd2ScHg, relaxed; space group = No. 123
1.0
3.7281 0.0000 0.0000
0.0000 3.7281 0.0000
0.0000 0.0000 8.4145
Nd Sc Hg
2 1 1
direct
0.0000 0.0000 0.2392
0.0000 0.0000 0.7608
0.5000 0.5000 0.5000
0.5000 0.5000 0.0000

---

Version C
GGA-PBE Nd2ScHg, relaxed; space group = No. 166
1.0
3.4272 0.0000 0.0000
-1.7136 2.9681 0.0000
0.0000 0.0000 35.2257
Nd Sc Hg
6 3 3
direct
0.0000 0.0000 0.0914
0.0000 0.0000 0.9086
0.3333 0.6667 0.5753
0.3333 0.6667 0.7580
0.6667 0.3333 0.2420
0.6667 0.3333 0.4247
0.0000 0.0000 0.0000
0.3333 0.6667 0.6667
0.6667 0.3333 0.3333
0.0000 0.0000 0.5000
0.3333 0.6667 0.1667
0.6667 0.3333 0.8333

---

Least stable = version C

---

Version A
GGA-PBE Nd2HgSe, relaxed; space group = No. 166
1.0
4.1805 0.0000 0.0000
-2.0902 3.6204 0.0000
0.0000 0.0000 23.0310
Nd Hg Se
6 3 3
direct
0.0000 0.0000 0.2425
0.0000 0.0000 0.7575
0.3333 0.6667 0.4242
0.3333 0.6667 0.9091
0.6667 0.3333 0.0909
0.6667 0.3333 0.5758
0.0000 0.0000 0.0000
0.3333 0.6667 0.6667
0.6667 0.3333 0.3333
0.0000 0.0000 0.5000
0.3333 0.6667 0.1667
0.6667 0.3333 0.8333

---

Version B
GGA-PBE Nd2HgSe, relaxed; space group = No. 160
1.0
4.0887 0.0000 0.0000
-2.0444 3.5410 0.0000
0.0000 0.0000 24.1691
Nd Hg Se
6 3 3
direct
0.0000 0.0000 0.0000
0.0000 0.0000 0.1850
0.3333 0.6667 0.6667
0.3333 0.6667 0.8517
0.6667 0.3333 0.3333
0.6667 0.3333 0.5184
0.0000 0.0000 0.4258
0.3333 0.6667 0.0925
0.6667 0.3333 0.7592
0.0000 0.0000 0.5942
0.3333 0.6667 0.2609
0.6667 0.3333 0.9276

---

Least stable = version B